(1)
V2Si2Au: optimized geometry, PBE.

Calculated values
Raw formation energy = -0.227 eV per atom
Symmetry = No. 127

Unit cell a=6.479 b=6.479 c=3.359 alpha=90.00 beta=90.00 gamma=90.00
Positions (direct):
V: 0.169 0.331 0.000
V: 0.331 0.831 0.000
V: 0.669 0.169 0.000
V: 0.831 0.669 0.000
Si: 0.127 0.627 0.500
Si: 0.373 0.127 0.500
Si: 0.627 0.873 0.500
Si: 0.873 0.373 0.500
Au: 0.000 0.000 0.500
Au: 0.500 0.500 0.500



(2)
V3SiAu: optimized geometry, PBE.

Calculated values
Excess energy over the best structure of this formula in the dataset = 884 meV/atom
Raw formation energy = 1.518 eV per atom
Symmetry = No. 221

Unit cell a=4.778 b=4.778 c=4.778 alpha=90.00 beta=90.00 gamma=90.00
Positions (direct):
V: 0.000 0.000 0.500
V: 0.000 0.500 0.000
V: 0.500 0.000 0.000
Si: 0.500 0.500 0.500
Au: 0.000 0.000 0.000



(3)
VSi2Au: optimized geometry, PBE.

Calculated values
Raw formation energy = 0.356 eV per atom
Symmetry = No. 122

Unit cell a=6.843 b=6.843 c=5.641 alpha=90.00 beta=90.00 gamma=90.00
Positions (direct):
V: 0.000 0.000 0.000
V: 0.000 0.500 0.250
V: 0.500 0.000 0.750
V: 0.500 0.500 0.500
Si: 0.245 0.250 0.625
Si: 0.250 0.745 0.875
Si: 0.250 0.755 0.375
Si: 0.255 0.250 0.125
Si: 0.745 0.750 0.125
Si: 0.750 0.245 0.375
Si: 0.750 0.255 0.875
Si: 0.755 0.750 0.625
Au: 0.000 0.000 0.500
Au: 0.000 0.500 0.750
Au: 0.500 0.000 0.250
Au: 0.500 0.500 0.000



(4)
VSi3Au: optimized geometry, PBE.

Calculated values
Excess energy over the best structure of this formula in the dataset = 0 meV/atom
Raw formation energy = 0.587 eV per atom
Symmetry = No. 221

Unit cell a=4.595 b=4.595 c=4.595 alpha=90.00 beta=90.00 gamma=90.00
Positions (direct):
V: 0.000 0.000 0.000
Si: 0.000 0.000 0.500
Si: 0.000 0.500 0.000
Si: 0.500 0.000 0.000
Au: 0.500 0.500 0.500



(5)
VSiAu2: optimized geometry, PBE.

Calculated values
Raw formation energy = 0.470 eV per atom
Symmetry = No. 166

Unit cell a=2.812 b=2.812 c=29.894 alpha=90.00 beta=90.00 gamma=120.00
Positions (direct):
V: 0.000 0.000 0.000
V: 0.333 0.667 0.667
V: 0.667 0.333 0.333
Si: 0.000 0.000 0.500
Si: 0.333 0.667 0.167
Si: 0.667 0.333 0.833
Au: 0.000 0.000 0.088
Au: 0.000 0.000 0.912
Au: 0.333 0.667 0.579
Au: 0.333 0.667 0.755
Au: 0.667 0.333 0.245
Au: 0.667 0.333 0.421



(6)
V3SiAu: optimized geometry, PBE.

Calculated values
Excess energy over the best structure of this formula in the dataset = 0 meV/atom
Raw formation energy = 0.634 eV per atom
Symmetry = No. 221

Unit cell a=4.399 b=4.399 c=4.399 alpha=90.00 beta=90.00 gamma=90.00
Positions (direct):
V: 0.000 0.000 0.500
V: 0.000 0.500 0.000
V: 0.500 0.000 0.000
Si: 0.000 0.000 0.000
Au: 0.500 0.500 0.500



(7)
V12SiAu3: optimized geometry, PBE.

Calculated values
Raw formation energy = -0.141 eV per atom
Symmetry = No. 47

Unit cell a=4.830 b=4.847 c=9.666 alpha=90.00 beta=90.00 gamma=90.00
Positions (direct):
V: 0.000 0.000 0.122
V: 0.000 0.000 0.375
V: 0.000 0.000 0.625
V: 0.000 0.000 0.878
V: 0.247 0.500 0.000
V: 0.261 0.500 0.500
V: 0.500 0.245 0.263
V: 0.500 0.245 0.737
V: 0.500 0.755 0.263
V: 0.500 0.755 0.737
V: 0.739 0.500 0.500
V: 0.753 0.500 0.000
Si: 0.500 0.000 0.500
Au: 0.000 0.500 0.249
Au: 0.000 0.500 0.751
Au: 0.500 0.000 0.000



(8)
V2SiAu: optimized geometry, PBE.

Calculated values
Raw formation energy = 0.206 eV per atom
Symmetry = No. 122

Unit cell a=6.923 b=6.923 c=5.210 alpha=90.00 beta=90.00 gamma=90.00
Positions (direct):
V: 0.230 0.750 0.125
V: 0.250 0.230 0.875
V: 0.250 0.270 0.375
V: 0.270 0.750 0.625
V: 0.730 0.250 0.625
V: 0.750 0.730 0.375
V: 0.750 0.770 0.875
V: 0.770 0.250 0.125
Si: 0.000 0.000 0.000
Si: 0.000 0.500 0.250
Si: 0.500 0.000 0.750
Si: 0.500 0.500 0.500
Au: 0.000 0.000 0.500
Au: 0.000 0.500 0.750
Au: 0.500 0.000 0.250
Au: 0.500 0.500 0.000



(9)
YVSi2Au: optimized geometry, PBE.

Calculated values
Raw formation energy = 1.027 eV per atom
Symmetry = No. 123

Unit cell a=4.725 b=4.725 c=5.391 alpha=90.00 beta=90.00 gamma=90.00
Positions (direct):
Y: 0.000 0.000 0.000
V: 0.500 0.500 0.000
Si: 0.000 0.500 0.500
Si: 0.500 0.000 0.500
Au: 0.000 0.000 0.500



(10)
SiW2Au: optimized geometry, PBE.

Calculated values
Raw formation energy = 0.259 eV per atom
Symmetry = No. 44

Unit cell a=3.139 b=4.484 c=8.793 alpha=90.00 beta=90.00 gamma=90.00
Positions (direct):
Si: 0.000 0.000 0.000
Si: 0.500 0.500 0.500
W: 0.000 0.000 0.502
W: 0.000 0.500 0.722
W: 0.500 0.000 0.222
W: 0.500 0.500 0.002
Au: 0.000 0.500 0.275
Au: 0.500 0.000 0.775



(11)
SiWAu2: optimized geometry, PBE.

Calculated values
Raw formation energy = 0.244 eV per atom
Symmetry = No. 25

Unit cell a=2.844 b=3.255 c=7.058 alpha=90.00 beta=90.00 gamma=90.00
Positions (direct):
Si: 0.000 0.000 0.000
W: 0.500 0.500 0.204
Au: 0.000 0.000 0.475
Au: 0.500 0.500 0.768



(12)
Si2WAu: optimized geometry, PBE.

Calculated values
Excess energy over the best structure of this formula in the dataset = 212 meV/atom
Raw formation energy = 0.301 eV per atom
Symmetry = No. 160

Unit cell a=2.993 b=2.993 c=24.178 alpha=90.00 beta=90.00 gamma=120.00
Positions (direct):
Si: 0.000 0.000 0.000
Si: 0.000 0.000 0.258
Si: 0.333 0.667 0.667
Si: 0.333 0.667 0.924
Si: 0.667 0.333 0.333
Si: 0.667 0.333 0.591
W: 0.000 0.000 0.510
W: 0.333 0.667 0.177
W: 0.667 0.333 0.844
Au: 0.000 0.000 0.748
Au: 0.333 0.667 0.414
Au: 0.667 0.333 0.081